# 1
DFT (PBE) results for a geometry-optimized TiHg2P structure.

## Properties
D(E_F) in states/eV/cell: 5.3
Theoretical density in g cm⁻³: 9.68
Calculated formation energy in eV per formula unit: 0.7
VASP energy in eV/atom: -3.30
Crystal system: tetragonal

Cell: 6.190 6.190 6.190 Å, 100.31 100.31 129.94°
Positions (direct):
Ti  0.000  0.000  0.000
Ti  0.750  0.250  0.500
Hg  0.158  0.625  0.033
Hg  0.375  0.408  0.533
Hg  0.592  0.125  0.967
Hg  0.875  0.842  0.467
P  0.250  0.750  0.500
P  0.500  0.500  0.000

***

# 2
DFT (PBE) results for a geometry-optimized TiHg2P structure.

## Properties
D(E_F) in states/eV/cell: 2.1
Theoretical density in g cm⁻³: 8.92
Calculated formation energy in eV per formula unit: -1.0
VASP energy in eV/atom: -3.72
Crystal system: triclinic

Cell: 3.212 3.439 8.247 Å, 91.16 100.98 90.03°
Positions (direct):
Ti  0.000  0.000  0.000
Hg  0.293  0.367  0.589
Hg  0.643  0.139  0.291
P  0.456  0.497  0.911

***

# 3
DFT (PBE) results for a geometry-optimized TiHg2P structure.

## Properties
D(E_F) in states/eV/cell: 4.6
Theoretical density in g cm⁻³: 9.43
Calculated formation energy in eV per formula unit: -0.4
VASP energy in eV/atom: -3.57
Crystal system: triclinic

Cell: 4.785 5.721 7.102 Å, 74.46 73.83 66.90°
Positions (direct):
Ti  0.000  0.000  0.000
Ti  0.375  0.782  0.346
Hg  0.037  0.490  0.260
Hg  0.183  0.393  0.675
Hg  0.605  0.544  0.949
Hg  0.715  0.100  0.408
P  0.200  0.873  0.676
P  0.469  0.051  0.021

***

# 4
DFT (PBE) results for a geometry-optimized TiHg2P structure.

## Properties
D(E_F) in states/eV/cell: 3.8
Theoretical density in g cm⁻³: 9.15
Calculated formation energy in eV per formula unit: -0.3
VASP energy in eV/atom: -3.55
Crystal system: triclinic

Cell: 4.818 6.291 6.785 Å, 66.05 70.45 73.25°
Positions (direct):
Ti  0.000  0.000  0.000
Ti  0.327  0.184  0.193
Hg  0.076  0.573  0.360
Hg  0.439  0.525  0.706
Hg  0.770  0.021  0.445
Hg  0.813  0.488  0.012
P  0.172  0.105  0.590
P  0.539  0.930  0.977